Material: MnPdBr4
Method: DFT, GGA-PBE
State: optimized geometry

The uncorrected formation energy comes out at -471 meV/atom.

The structure belongs to space group C2/m (No. 12); the cell edges are 14.875, 3.890 and 6.677 Å and the angles 90.00°, 113.29° and 90.00°. The distinct sites, in fractional coordinates, are Mn at (0.000, 0.000, 0.000), Pd at (0.000, 0.500, 0.500), Br at (0.109, 0.000, 0.434) and Br at (0.111, 0.500, 0.931).